This record from Alexandria via LeMat-Bulk describes Ca2MgOs after structural relaxation. The functional is PBE.

Cell lengths 6.3236, 6.3236, 6.3236 Å; angles 148.06, 131.27, 59.45 degrees
Closest atoms and distances in Å follow each position.
Sites, in units of the cell vectors:
Ca 0.0000 0.0000 0.0000  4 Os 3.14, 4 Ca 3.38-3.48, 2 Mg 3.40
Ca 0.6956 0.1956 0.5000  2 Os 2.92
Mg 0.3015 0.8015 0.5000  2 Os 2.64
Os 0.4819 0.4819 0.0000  2 Mg 2.64, 2 Ca 2.92

Calculated values
Space-group type = Imm2, No. 44

This record from Alexandria via LeMat-Bulk describes CaMgOs2 after structural relaxation. The functional is PBE.

Cell lengths 2.7945, 2.7945, 9.2732 Å; angles 90.00, 90.00, 111.86 degrees
Closest atoms and distances in Å follow each position.
Sites, in units of the cell vectors:
Ca 0.0000 0.0000 0.0000  4 Ca 2.79, 4 Os 2.90
Mg 0.0000 0.0000 0.5000  4 Os 2.70, 4 Mg 2.79
Os 0.5000 0.5000 0.2630  2 Mg 2.70, 4 Os 2.79, 2 Ca 2.90
Os 0.5000 0.5000 0.7370  2 Mg 2.70, 4 Os 2.79, 2 Ca 2.90

Calculated values
Space-group type = Cmmm, No. 65

This record from Alexandria via LeMat-Bulk describes CaMgOs2 after structural relaxation. The functional is PBE.

Cell lengths 3.0877, 4.6737, 4.7193 Å; angles 90.00, 90.00, 90.00 degrees
Closest atoms and distances in Å follow each position.
Sites, in units of the cell vectors:
Ca 0.0000 0.0000 0.0000  4 Os 2.80, 4 Mg 2.82, 2 Ca 3.09
Mg 0.5000 0.0000 0.5000  4 Os 2.80, 4 Ca 2.82, 2 Mg 3.09
Os 0.0000 0.5000 0.5000  4 Mg 2.80, 6 Os 2.82-3.09
Os 0.5000 0.5000 0.0000  4 Ca 2.80, 6 Os 2.82-3.09

Calculated values
Space-group type = Pmmm, No. 47

This record from Alexandria via LeMat-Bulk describes Ca2MgOs after structural relaxation. The functional is PBE.

Cell lengths 3.5449, 3.5449, 8.0604 Å; angles 90.00, 90.00, 90.00 degrees
Closest atoms and distances in Å follow each position.
Sites, in units of the cell vectors:
Ca 0.0000 0.0000 0.0000  1 Mg 2.87, 4 Os 3.12
Ca 0.5000 0.5000 0.3927  1 Os 3.04, 4 Mg 3.22
Mg 0.0000 0.0000 0.6443  4 Os 2.70, 1 Ca 2.87
Os 0.5000 0.5000 0.7700  4 Mg 2.70

Calculated values
Space-group type = P4mm, No. 99

Number 1: VASP energy -3.912 eV/atom. Number 2: VASP energy -5.977 eV/atom. Number 3: VASP energy -5.974 eV/atom. Number 4: VASP energy -3.939 eV/atom.